Material: Tb2PmScBi4
Method: DFT, GGA-PBE
State: relaxed

Unit cell a=7.7284 b=4.4676 c=7.7365 alpha=90.00 beta=109.49 gamma=90.00
Space group P2/m (No. 10)
Symmetry-distinct sites (fractional):
Tb 0.0000 0.0000 0.0000 (multiplicity 1)
Tb 0.5000 0.5000 0.0000 (multiplicity 1)
Pm 0.0000 0.5000 0.5000 (multiplicity 1)
Sc 0.5000 0.0000 0.5000 (multiplicity 1)
Bi 0.2590 0.0000 0.7488 (multiplicity 2)
Bi 0.2620 0.5000 0.2581 (multiplicity 2)

- Electronic total energy: -42.435 eV/f.u.
- Magnetization: 0.00 Bohr magnetons per cell

Material: Pr2Cu15Si2
Method: DFT, GGA-PBE
State: relaxed

Unit cell a=8.6875 b=8.6875 c=12.5505 alpha=90.00 beta=90.00 gamma=120.00
Space group R-3m (No. 166, hexagonal axes)
Symmetry-distinct sites (fractional):
Pr 0.0000 0.0000 0.1559 (multiplicity 6)
Cu 0.0000 0.2981 0.5000 (multiplicity 18)
Cu 0.0000 0.5000 0.0000 (multiplicity 9)
Cu 0.0053 0.5026 0.3437 (multiplicity 18)
Si 0.0000 0.0000 0.4039 (multiplicity 6)

- Electronic total energy: -84.027 eV/f.u.
- Magnetization: 0.00 Bohr magnetons per cell
- E_form (uncorrected): -0.11 eV/atom

Material: HoCdGe2
Method: DFT, GGA-PBE
State: relaxed

Unit cell a=4.5129 b=4.5129 c=4.0957 alpha=90.00 beta=90.00 gamma=90.00
Space group P4/mmm (No. 123)
Symmetry-distinct sites (fractional):
Ho 0.0000 0.0000 0.0000 (multiplicity 1)
Cd 0.5000 0.5000 0.0000 (multiplicity 1)
Ge 0.0000 0.5000 0.5000 (multiplicity 2)

- Electronic total energy: -16.314 eV/f.u.
- ΔE to the lowest computed polymorph: 0.000 eV per atom
- Magnetization: 0.00 Bohr magnetons per cell

Material: Tb12Fe6Sn
Method: DFT, GGA-PBE
State: relaxed

Unit cell a=9.7500 b=9.7500 c=9.7500 alpha=90.00 beta=90.00 gamma=90.00
Space group Im-3 (No. 204)
Symmetry-distinct sites (fractional):
Tb 0.0000 0.2992 0.1954 (multiplicity 24)
Fe 0.0000 0.1089 0.5000 (multiplicity 12)
Sn 0.0000 0.0000 0.0000 (multiplicity 2)

- Electronic total energy: -112.357 eV/f.u.
- Magnetization: 12.30 Bohr magnetons per cell

Q: What is the electronic total energy in the second record?
A: -84.027 eV/f.u.

Q: Look up the magnetization of the first one.
A: 0.00 Bohr magnetons per cell

Copy entry 4 word for word.
Material: Tb12Fe6Sn
Method: DFT, GGA-PBE
State: relaxed

Unit cell a=9.7500 b=9.7500 c=9.7500 alpha=90.00 beta=90.00 gamma=90.00
Space group Im-3 (No. 204)
Symmetry-distinct sites (fractional):
Tb 0.0000 0.2992 0.1954 (multiplicity 24)
Fe 0.0000 0.1089 0.5000 (multiplicity 12)
Sn 0.0000 0.0000 0.0000 (multiplicity 2)

- Electronic total energy: -112.357 eV/f.u.
- Magnetization: 12.30 Bohr magnetons per cell

Q: Which of these has the lowest electronic total energy?
A: Tb12Fe6Sn